Density functional theory data (PBE) for a geometry-optimized SnGe2Ir2 structure.

abc: 7.6474 7.6474 2.9112
angles: 90.00 90.00 90.00
Last column: nearest neighbours and their distance in Å.
Space group P4/mbm (No. 127)
One atom of each set of equivalent atoms:
Sn1 0.0000 0.0000 0.0000 x2  2 Sn 2.91, 4 Ir 2.94
Ge1 0.1473 0.3527 0.5000 x4  6 Ir 2.65-2.70, 2 Ge 2.91
Ir1 0.1429 0.6429 0.0000 x4  6 Ge 2.65-2.70, 2 Ir 2.91, 2 Sn 2.94

As for the formation energy: -0.26 eV per formula unit. As for the crystal system: tetragonal. Its magnetization is 0.00 μB per formula unit.



Density functional theory data (PBE) for a geometry-optimized Sr2Sn3GeIr4 structure.

abc: 4.5062 4.5062 10.8450
angles: 90.00 90.00 90.00
Last column: nearest neighbours and their distance in Å.
Space group P-4m2 (No. 115)
One atom of each set of equivalent atoms:
Sr1 0.0000 0.5000 0.2485 x2  6 Sn 3.44-3.51, 8 Ir 3.47-3.54, 2 Ge 3.51
Sn1 0.0000 0.0000 0.0000 x1  4 Ir 2.61
Sn2 0.0000 0.5000 0.6315 x2  5 Ir 2.67
Ge1 0.5000 0.5000 0.0000 x1  4 Ir 2.61
Ir1 0.0000 0.0000 0.5000 x1  4 Sn 2.67
Ir2 0.0000 0.5000 0.8780 x2  2 Ge 2.61, 3 Sn 2.61-2.67
Ir3 0.5000 0.5000 0.5000 x1  4 Sn 2.67

As for the formation energy: -4.66 eV per formula unit. As for the crystal system: tetragonal. Its magnetization is 0.00 μB per formula unit.



Density functional theory data (PBE) for a geometry-optimized Sr2SnGe3Ir4 structure.

abc: 4.3562 4.3562 10.5720
angles: 90.00 90.00 90.00
Last column: nearest neighbours and their distance in Å.
Space group P-4m2 (No. 115)
One atom of each set of equivalent atoms:
Sr1 0.0000 0.5000 0.2433 x2  8 Ir 3.33-3.37, 6 Ge 3.33-3.48, 2 Sn 3.48
Sn1 0.0000 0.0000 0.5000 x1  4 Ir 2.62
Ge1 0.0000 0.5000 0.8769 x2  5 Ir 2.53-2.54
Ge2 0.5000 0.5000 0.5000 x1  4 Ir 2.62
Ir1 0.0000 0.0000 0.0000 x1  4 Ge 2.54
Ir2 0.0000 0.5000 0.6380 x2  3 Ge 2.53-2.62, 2 Sn 2.62
Ir3 0.5000 0.5000 0.0000 x1  4 Ge 2.54

As for the formation energy: -5.56 eV per formula unit. As for the crystal system: tetragonal. Its magnetization is 0.00 μB per formula unit.



Density functional theory data (PBE) for a geometry-optimized Tb2SnGe3Ir4 structure.

abc: 4.2326 4.2326 10.5588
angles: 90.00 90.00 90.00
Last column: nearest neighbours and their distance in Å.
Space group P-4m2 (No. 115)
One atom of each set of equivalent atoms:
Tb1 0.0000 0.5000 0.2405 x2  6 Ge 3.22-3.46, 8 Ir 3.23-3.31, 2 Sn 3.46
Sn1 0.0000 0.0000 0.5000 x1  4 Ir 2.60
Ge1 0.0000 0.5000 0.8720 x2  5 Ir 2.41-2.51
Ge2 0.5000 0.5000 0.5000 x1  4 Ir 2.60
Ir1 0.0000 0.0000 0.0000 x1  4 Ge 2.51
Ir2 0.0000 0.5000 0.6439 x2  3 Ge 2.41-2.60, 2 Sn 2.60
Ir3 0.5000 0.5000 0.0000 x1  4 Ge 2.51

As for the formation energy: -6.94 eV per formula unit. As for the crystal system: tetragonal. Its magnetization is 0.00 μB per formula unit.



- Which value of magnetization does entry 2 give?
  0.00 μB per formula unit